Crystalline Tb4ScIn3 at its relaxed geometry, computed with GGA-PBE.

The structure in POSCAR format:
```
Tb4ScIn3
1.0
2.670 1.541 8.837
-2.670 1.541 8.837
0.000 -3.083 8.837
Tb Sc In
4 1 3
direct
0.121 0.121 0.121
0.372 0.372 0.372
0.628 0.628 0.628
0.879 0.879 0.879
0.500 0.500 0.500
0.000 0.000 0.000
0.242 0.242 0.242
0.758 0.758 0.758
```

Magnetic moment = 1.500 μB/cell
Calculated formation energy = -338.5 meV per atom
Space-group type = R-3m
Density of states at the Fermi level = 1.23 states/eV per atom
Calculated density = 7.80 g/cm³



Crystalline Nd2AsSe at its relaxed geometry, computed with GGA-PBE.

The structure in POSCAR format:
```
Nd2AsSe
1.0
-3.006 3.006 6.029
3.006 -3.006 6.029
3.006 3.006 -6.029
Nd As Se
4 2 2
direct
0.120 0.370 0.750
0.370 0.120 0.250
0.630 0.880 0.750
0.880 0.630 0.250
0.125 0.875 0.250
0.875 0.125 0.750
0.375 0.625 0.750
0.625 0.375 0.250
```

E above lowest polymorph = 0.000 eV per atom
Energy relative to the elements, uncorrected = -1736 meV per atom
Magnetic moment = 0.000 μB/cell
Space-group type = I4_1/amd
Density of states at the Fermi level = 0.35 states/eV per atom
Calculated density = 6.74 g/cm³



Crystalline KTl2GaPt at its relaxed geometry, computed with GGA-PBE.

The structure in POSCAR format:
```
KTl2GaPt
1.0
5.549 0.000 0.000
0.000 5.549 0.000
0.000 0.000 4.928
K Tl Ga Pt
1 2 1 1
direct
0.000 0.000 0.000
0.000 0.500 0.500
0.500 0.000 0.500
0.500 0.500 0.000
0.500 0.500 0.500
```

Magnetic moment = 0.000 μB/cell
Calculated formation energy = -104.7 meV per atom
Space-group type = P4/mmm
Density of states at the Fermi level = 0.74 states/eV per atom
Calculated density = 7.80 g/cm³



Crystalline LiCr2Ge2 at its relaxed geometry, computed with GGA-PBE.

The structure in POSCAR format:
```
LiCr2Ge2
1.0
7.279 0.000 0.000
0.000 7.279 0.000
0.000 0.000 2.837
Li Cr Ge
2 4 4
direct
0.000 0.000 0.000
0.500 0.500 0.000
0.139 0.361 0.500
0.361 0.861 0.500
0.639 0.139 0.500
0.861 0.639 0.500
0.158 0.658 0.000
0.342 0.158 0.000
0.658 0.842 0.000
0.842 0.342 0.000
```

E above lowest polymorph = 0.000 eV per atom
Magnetic moment = 9.490 μB/cell
Calculated formation energy = 5.4 meV per atom
Space-group type = P4/mbm
Density of states at the Fermi level = 0.58 states/eV per atom
Calculated density = 5.66 g/cm³



Among the records above, which one has the highest magnetic moment?
LiCr2Ge2



Look up the magnetic moment of the fourth one.
9.490 μB/cell



Please write out number 1 again, unchanged.
Crystalline Tb4ScIn3 at its relaxed geometry, computed with GGA-PBE.

The structure in POSCAR format:
```
Tb4ScIn3
1.0
2.670 1.541 8.837
-2.670 1.541 8.837
0.000 -3.083 8.837
Tb Sc In
4 1 3
direct
0.121 0.121 0.121
0.372 0.372 0.372
0.628 0.628 0.628
0.879 0.879 0.879
0.500 0.500 0.500
0.000 0.000 0.000
0.242 0.242 0.242
0.758 0.758 0.758
```

Magnetic moment = 1.500 μB/cell
Calculated formation energy = -338.5 meV per atom
Space-group type = R-3m
Density of states at the Fermi level = 1.23 states/eV per atom
Calculated density = 7.80 g/cm³